# 1
A plane-wave DFT calculation with GGA-PBE was carried out for a relaxed structure of TbDyIn4.

a = 4.6458 Å, b = 7.4814 Å, c = 7.4814 Å
α = 35.83°, β = 90.00°, γ = 90.00°
Fractional coordinates of all 6 atoms:
In 0.5000 0.1758 0.1758
In 0.0000 0.0000 0.0000
In 0.5000 0.8243 0.8243
In 0.5000 0.4999 0.4999
Dy 0.0000 0.3445 0.3445
Tb 0.0000 0.6556 0.6556

Summary:
The space group is Amm2. Its electronic total energy is -22.84 eV for the cell shown.


# 2
A plane-wave DFT calculation with GGA-PBE was carried out for a relaxed structure of Tb2Dy2In.

a = 8.1927 Å, b = 8.1927 Å, c = 4.5631 Å
α = 90.00°, β = 90.00°, γ = 90.00°
Fractional coordinates of all 10 atoms:
In 0.5000 0.5000 0.0000
In 0.0000 0.0000 0.0000
Dy 0.1484 0.3516 0.0000
Dy 0.8516 0.6484 0.0000
Dy 0.3516 0.8516 0.0000
Dy 0.6484 0.1484 0.0000
Tb 0.3474 0.1526 0.5000
Tb 0.1526 0.6526 0.5000
Tb 0.8474 0.3474 0.5000
Tb 0.6526 0.8474 0.5000

Summary:
The space group is P4/mbm. Its electronic total energy is -42.35 eV for the cell shown.


# 3
A plane-wave DFT calculation with GGA-PBE was carried out for a relaxed structure of Dy4InTc.

a = 7.8110 Å, b = 7.8110 Å, c = 6.2019 Å
α = 99.72°, β = 99.72°, γ = 112.19°
Fractional coordinates of all 12 atoms:
Dy 0.0604 0.7242 0.9515
Dy 0.6427 0.7991 0.8888
Dy 0.3573 0.2009 0.1112
Dy 0.9396 0.2758 0.0485
Dy 0.7242 0.0604 0.4515
Dy 0.7991 0.6427 0.3888
Dy 0.2758 0.9396 0.5485
Dy 0.2009 0.3573 0.6112
In 0.6245 0.3755 0.7500
In 0.3755 0.6245 0.2500
Tc 0.9998 0.0002 0.2500
Tc 0.0002 0.9998 0.7500

Summary:
The space group is C2/c. Its electronic total energy is -66.00 eV for the cell shown.


# 4
A plane-wave DFT calculation with GGA-PBE was carried out for a relaxed structure of DyInTe.

a = 5.1513 Å, b = 5.1513 Å, c = 5.1513 Å
α = 60.00°, β = 60.00°, γ = 60.00°
Fractional coordinates of all 3 atoms:
Te 0.0000 0.0000 0.0000
In 0.7500 0.7500 0.7500
Dy 0.2500 0.2500 0.2500

Summary:
The space group is F-43m. Its electronic total energy is -11.49 eV for the cell shown.